Entry from Alexandria via LeMat-Bulk: Sm2PuBi3 after structural relaxation (PBE).

```
Sm2PuBi3
1.0
-0.576 -2.652 7.405
7.367 -1.071 -2.605
0.055 14.199 2.286
Sm Pu Bi
8 4 12
Direct
0.000 0.500 0.999
0.417 0.417 0.834
0.833 0.333 0.666
0.250 0.250 0.501
0.750 0.750 0.499
0.667 0.167 0.334
0.583 0.583 0.166
0.500 0.000 0.001
0.917 0.917 0.833
0.333 0.833 0.667
0.167 0.667 0.333
0.083 0.083 0.167
0.166 0.669 0.832
0.666 0.164 0.832
0.084 0.081 0.668
0.584 0.586 0.668
0.003 0.503 0.500
0.497 0.997 0.500
0.414 0.416 0.332
0.919 0.916 0.332
0.836 0.334 0.168
0.331 0.834 0.168
0.247 0.247 0.000
0.753 0.753 0.000
```

Output
mass density = 9.725 g/cm3
ΔE_f = -722.7 meV per atom
Fermi-level density of states = 65.48 states/eV per cell